1.
Ce4CdSn: relaxed, PBE.

The calculation puts the magnetic moment at 0.01 Bohr magnetons per cell. The value obtained for the energy above the most stable polymorph in this dataset is 19.0 meV/atom. The energy relative to the elements comes out at -0.221 eV per atom.

The space group is Immm (No. 71) and the conventional cell measures 5.155, 6.105 and 9.415 Å, with angles of 90.00, 90.00 and 90.00 degrees. Symmetry generates all atoms from Ce at (0.000, 0.247, 0.177), Cd at (0.000, 0.500, 0.500) and Sn at (0.000, 0.000, 0.500).

=====

2.
Th6AsP2Se3: relaxed, PBE.

The calculation puts the magnetic moment at 0.00 Bohr magnetons per cell. As for the uncorrected formation energy: -18.733 eV/f.u.

The space group is C2/m (No. 12) and the conventional cell measures 18.317, 4.200 and 8.381 Å, with angles of 90.00, 103.57 and 90.00 degrees. Symmetry generates all atoms from Th at (0.006, 0.000, 0.250), Th at (0.166, 0.500, 0.097), Th at (0.171, 0.500, 0.572), As at (0.000, 0.500, 0.000), P at (0.168, 0.000, 0.334), Se at (0.000, 0.500, 0.500) and Se at (0.164, 0.000, 0.833).

=====

3.
PmEr2UN4: relaxed, PBE.

The calculation puts the magnetic moment at 1.51 Bohr magnetons per cell. As for the uncorrected formation energy: -12.584 eV/f.u.

The space group is P2/m (No. 10) and the conventional cell measures 5.988, 3.469 and 6.028 Å, with angles of 90.00, 109.04 and 90.00 degrees. Symmetry generates all atoms from Pm at (0.000, 0.000, 0.000), Er at (0.500, 0.000, 0.500), Er at (0.500, 0.500, 0.000), U at (0.000, 0.500, 0.500), N at (0.247, 0.500, 0.274) and N at (0.249, 0.000, 0.737).